[1]
## Er2Ag2Hg (GGA-PBE)

Data for a geometry-optimized Er2Ag2Hg structure. Values from VASP.

Geometry as Quantum ESPRESSO input:
```
&SYSTEM
  ibrav = 0, nat = 10, ntyp = 3
/
ATOMIC_SPECIES
Er 167.26 Er.upf
Ag 107.87 Ag.upf
Hg 200.59 Hg.upf
CELL_PARAMETERS angstrom
6.1717 0.0000 1.8641
2.8087 4.8818 1.8494
0.9194 0.6332 8.1045
ATOMIC_POSITIONS crystal
Er 0.5705 0.8086 0.8451
Er 0.7758 0.3086 0.3451
Er 0.4295 0.1914 0.1549
Er 0.2242 0.6914 0.6549
Ag 0.2480 0.2400 0.5469
Ag 0.0349 0.2600 0.9531
Ag 0.7520 0.7600 0.4531
Ag 0.9651 0.7400 0.0469
Hg 0.2525 0.7500 0.2500
Hg 0.7475 0.2500 0.7500
```

ΔH_f (0 K)   -0.30 eV per atom
Magnetization   0.000 μB/atom
Crystal system   monoclinic
Space group   C2/c
Theoretical density   10.753 g cm⁻³

[2]
## Er3Ag2Hg2 (GGA-PBE)

Data for a geometry-optimized Er3Ag2Hg2 structure. Values from VASP.

Geometry as Quantum ESPRESSO input:
```
&SYSTEM
  ibrav = 0, nat = 7, ntyp = 3
/
ATOMIC_SPECIES
Er 167.26 Er.upf
Ag 107.87 Ag.upf
Hg 200.59 Hg.upf
CELL_PARAMETERS angstrom
4.0675 0.0000 0.5398
0.0000 3.5456 0.0000
0.5177 0.0000 11.6935
ATOMIC_POSITIONS crystal
Er 0.8447 0.0000 0.3106
Er 0.0000 0.0000 0.0000
Er 0.1553 0.0000 0.6894
Ag 0.7117 0.5000 0.5766
Ag 0.2883 0.5000 0.4234
Hg 0.5776 0.5000 0.8448
Hg 0.4224 0.5000 0.1552
```

ΔH_f (0 K)   -0.34 eV per atom
Magnetization   0.000 μB/atom
Crystal system   orthorhombic
Space group   Cmmm
Theoretical density   11.080 g cm⁻³

[3]
## Er4In2AgHg (GGA-PBE)

Data for a geometry-optimized Er4In2AgHg structure. Values from VASP.

Geometry as Quantum ESPRESSO input:
```
&SYSTEM
  ibrav = 0, nat = 8, ntyp = 4
/
ATOMIC_SPECIES
Er 167.26 Er.upf
In 114.82 In.upf
Ag 107.87 Ag.upf
Hg 200.59 Hg.upf
CELL_PARAMETERS angstrom
5.2240 0.0000 0.0000
2.6120 4.5241 0.0000
2.6120 1.5080 8.5540
ATOMIC_POSITIONS crystal
Er 0.3759 0.3759 0.8724
Er 0.8743 0.8743 0.3772
Er 0.1257 0.1257 0.6228
Er 0.6241 0.6241 0.1276
In 0.7511 0.7511 0.7466
In 0.2489 0.2489 0.2534
Ag 0.5000 0.5000 0.5000
Hg 0.0000 0.0000 0.0000
```

ΔH_f (0 K)   -0.42 eV per atom
Magnetization   0.000 μB/atom
Crystal system   trigonal
Space group   R-3m
Theoretical density   9.915 g cm⁻³

What is the magnetization in the second record?
0.000 μB/atom

Copy entry 1 word for word.
## Er2Ag2Hg (GGA-PBE)

Data for a geometry-optimized Er2Ag2Hg structure. Values from VASP.

Geometry as Quantum ESPRESSO input:
```
&SYSTEM
  ibrav = 0, nat = 10, ntyp = 3
/
ATOMIC_SPECIES
Er 167.26 Er.upf
Ag 107.87 Ag.upf
Hg 200.59 Hg.upf
CELL_PARAMETERS angstrom
6.1717 0.0000 1.8641
2.8087 4.8818 1.8494
0.9194 0.6332 8.1045
ATOMIC_POSITIONS crystal
Er 0.5705 0.8086 0.8451
Er 0.7758 0.3086 0.3451
Er 0.4295 0.1914 0.1549
Er 0.2242 0.6914 0.6549
Ag 0.2480 0.2400 0.5469
Ag 0.0349 0.2600 0.9531
Ag 0.7520 0.7600 0.4531
Ag 0.9651 0.7400 0.0469
Hg 0.2525 0.7500 0.2500
Hg 0.7475 0.2500 0.7500
```

ΔH_f (0 K)   -0.30 eV per atom
Magnetization   0.000 μB/atom
Crystal system   monoclinic
Space group   C2/c
Theoretical density   10.753 g cm⁻³

Which of these has the lowest ΔH_f (0 K)?
Er4In2AgHg

What is the theoretical density in the first record?
10.753 g cm⁻³